Entry P
{
  "formula": "AlRu2C2",
  "functional": "PBE",
  "state": "optimized geometry",
  "magmom_total_mub_per_fu": 0.000,
  "cell": [[-1.941, 1.941, 3.568], [1.941, -1.941, 3.568], [1.941, 1.941, -3.568]],
  "species": ["Al", "Ru", "Ru", "C", "C"],
  "frac_coords": [[0.000, 0.000, 0.000], [0.250, 0.750, 0.500], [0.750, 0.250, 0.500], [0.393, 0.393, 0.000], [0.607, 0.607, 0.000]]
}

---

Entry Q
{
  "formula": "AlRu2C2",
  "functional": "PBE",
  "state": "optimized geometry",
  "magmom_total_mub_per_fu": 0.000,
  "cell": [[6.137, 0.000, 0.000], [0.000, 6.137, 0.000], [0.000, 0.000, 2.760]],
  "species": ["Al", "Al", "Ru", "Ru", "Ru", "Ru", "C", "C", "C", "C"],
  "frac_coords": [[0.000, 0.000, 0.000], [0.500, 0.500, 0.000], [0.157, 0.343, 0.500], [0.343, 0.843, 0.500], [0.657, 0.157, 0.500], [0.843, 0.657, 0.500], [0.158, 0.658, 0.000], [0.342, 0.158, 0.000], [0.658, 0.842, 0.000], [0.842, 0.342, 0.000]]
}

---

The computed energies, referenced to the most stable structure and given in meV/atom, are entry P 0; entry Q 407.

---

Entry P
{
  "formula": "Al3RuC",
  "functional": "PBE",
  "state": "optimized geometry",
  "magmom_total_mub_per_fu": 1.677,
  "cell": [[4.666, 0.000, 0.000], [0.000, 4.666, 0.000], [0.000, 0.000, 4.666]],
  "species": ["Al", "Al", "Al", "Ru", "C"],
  "frac_coords": [[0.000, 0.000, 0.500], [0.000, 0.500, 0.000], [0.500, 0.000, 0.000], [0.000, 0.000, 0.000], [0.500, 0.500, 0.500]]
}

---

Entry Q
{
  "formula": "Al3RuC",
  "functional": "PBE",
  "state": "optimized geometry",
  "magmom_total_mub_per_fu": 0.000,
  "cell": [[4.000, 0.000, 0.000], [0.000, 4.000, 0.000], [0.000, 0.000, 4.000]],
  "species": ["Al", "Al", "Al", "Ru", "C"],
  "frac_coords": [[0.000, 0.000, 0.500], [0.000, 0.500, 0.000], [0.500, 0.000, 0.000], [0.500, 0.500, 0.500], [0.000, 0.000, 0.000]]
}

---

The computed energies, referenced to the most stable structure and given in meV/atom, are entry P 1045; entry Q 0.

---

Entry P
{
  "formula": "AlC3S",
  "functional": "PBE",
  "state": "optimized geometry",
  "magmom_total_mub_per_fu": 0.000,
  "cell": [[3.622, 0.000, 0.000], [0.000, 3.622, 0.000], [0.000, 0.000, 3.622]],
  "species": ["Al", "C", "C", "C", "S"],
  "frac_coords": [[0.000, 0.000, 0.000], [0.000, 0.500, 0.500], [0.500, 0.000, 0.500], [0.500, 0.500, 0.000], [0.500, 0.500, 0.500]]
}

---

Entry Q
{
  "formula": "AlC3S",
  "functional": "PBE",
  "state": "optimized geometry",
  "magmom_total_mub_per_fu": 0.000,
  "cell": [[3.978, 0.000, 0.000], [0.000, 3.978, 0.000], [0.000, 0.000, 3.978]],
  "species": ["Al", "C", "C", "C", "S"],
  "frac_coords": [[0.000, 0.000, 0.000], [0.000, 0.000, 0.500], [0.000, 0.500, 0.000], [0.500, 0.000, 0.000], [0.500, 0.500, 0.500]]
}

---

The computed energies, referenced to the most stable structure and given in meV/atom, are entry P 0; entry Q 303.

---

Entry P
{
  "formula": "AlSb3C",
  "functional": "PBE",
  "state": "optimized geometry",
  "magmom_total_mub_per_fu": 1.633,
  "cell": [[5.229, 0.000, 0.000], [0.000, 5.229, 0.000], [0.000, 0.000, 5.229]],
  "species": ["Al", "Sb", "Sb", "Sb", "C"],
  "frac_coords": [[0.000, 0.000, 0.000], [0.000, 0.000, 0.500], [0.000, 0.500, 0.000], [0.500, 0.000, 0.000], [0.500, 0.500, 0.500]]
}

---

Entry Q
{
  "formula": "AlSb3C",
  "functional": "PBE",
  "state": "optimized geometry",
  "magmom_total_mub_per_fu": 0.000,
  "cell": [[4.781, 0.000, 0.000], [0.000, 4.781, 0.000], [0.000, 0.000, 4.781]],
  "species": ["Al", "Sb", "Sb", "Sb", "C"],
  "frac_coords": [[0.000, 0.000, 0.000], [0.000, 0.500, 0.500], [0.500, 0.000, 0.500], [0.500, 0.500, 0.000], [0.500, 0.500, 0.500]]
}

---

The computed energies, referenced to the most stable structure and given in meV/atom, are entry P 871; entry Q 0.

---

Entry P
{
  "formula": "Ta2AlSbC",
  "functional": "PBE",
  "state": "optimized geometry",
  "magmom_total_mub_per_fu": 0.000,
  "cell": [[4.307, 0.000, 0.000], [0.000, 4.307, 0.000], [0.000, 0.000, 4.703]],
  "species": ["Ta", "Ta", "Al", "Sb", "C"],
  "frac_coords": [[0.000, 0.500, 0.000], [0.500, 0.000, 0.000], [0.000, 0.000, 0.500], [0.500, 0.500, 0.500], [0.500, 0.500, 0.000]]
}

---

Entry Q
{
  "formula": "Ta2AlSbC",
  "functional": "PBE",
  "state": "optimized geometry",
  "magmom_total_mub_per_fu": 0.504,
  "cell": [[5.093, 0.000, 0.000], [0.000, 5.093, 0.000], [0.000, 0.000, 4.901]],
  "species": ["Ta", "Ta", "Al", "Sb", "C"],
  "frac_coords": [[0.000, 0.500, 0.000], [0.500, 0.000, 0.000], [0.000, 0.000, 0.500], [0.000, 0.000, 0.000], [0.500, 0.500, 0.500]]
}

---

The computed energies, referenced to the most stable structure and given in meV/atom, are entry P 0; entry Q 2536.

---

Entry P
{
  "formula": "AlSb2TeC",
  "functional": "PBE",
  "state": "optimized geometry",
  "magmom_total_mub_per_fu": 0.000,
  "cell": [[4.745, 0.000, 0.000], [0.000, 4.745, 0.000], [0.000, 0.000, 4.881]],
  "species": ["Al", "Sb", "Sb", "Te", "C"],
  "frac_coords": [[0.000, 0.000, 0.000], [0.000, 0.500, 0.500], [0.500, 0.000, 0.500], [0.500, 0.500, 0.000], [0.500, 0.500, 0.500]]
}

---

Entry Q
{
  "formula": "AlSb2TeC",
  "functional": "PBE",
  "state": "optimized geometry",
  "magmom_total_mub_per_fu": 1.592,
  "cell": [[5.264, 0.000, 0.000], [0.000, 5.264, 0.000], [0.000, 0.000, 5.265]],
  "species": ["Al", "Sb", "Sb", "Te", "C"],
  "frac_coords": [[0.000, 0.000, 0.000], [0.000, 0.500, 0.000], [0.500, 0.000, 0.000], [0.000, 0.000, 0.500], [0.500, 0.500, 0.500]]
}

---

The computed energies, referenced to the most stable structure and given in meV/atom, are entry P 0; entry Q 788.

---

Entry P
{
  "formula": "AlSbTe2C",
  "functional": "PBE",
  "state": "optimized geometry",
  "magmom_total_mub_per_fu": 0.000,
  "cell": [[4.839, 0.000, 0.000], [0.000, 4.839, 0.000], [0.000, 0.000, 4.738]],
  "species": ["Al", "Sb", "Te", "Te", "C"],
  "frac_coords": [[0.000, 0.000, 0.000], [0.500, 0.500, 0.000], [0.000, 0.500, 0.500], [0.500, 0.000, 0.500], [0.500, 0.500, 0.500]]
}

---

Entry Q
{
  "formula": "AlSbTe2C",
  "functional": "PBE",
  "state": "optimized geometry",
  "magmom_total_mub_per_fu": 1.531,
  "cell": [[5.309, 0.000, 0.000], [0.000, 5.309, 0.000], [0.000, 0.000, 5.253]],
  "species": ["Al", "Sb", "Te", "Te", "C"],
  "frac_coords": [[0.000, 0.000, 0.000], [0.000, 0.000, 0.500], [0.000, 0.500, 0.000], [0.500, 0.000, 0.000], [0.500, 0.500, 0.500]]
}

---

The computed energies, referenced to the most stable structure and given in meV/atom, are entry P 0; entry Q 715.

---

Entry P
{
  "formula": "ScAl3C3",
  "functional": "PBE",
  "state": "optimized geometry",
  "magmom_total_mub_per_fu": 0.000,
  "cell": [[2.954, 1.705, 5.681], [-2.954, 1.705, 5.681], [0.000, -3.411, 5.681]],
  "species": ["Sc", "Sc", "Al", "Al", "Al", "Al", "Al", "Al", "C", "C", "C", "C", "C", "C"],
  "frac_coords": [[0.170, 0.170, 0.170], [0.830, 0.830, 0.830], [0.082, 0.375, 0.698], [0.302, 0.918, 0.625], [0.375, 0.698, 0.082], [0.625, 0.302, 0.918], [0.698, 0.082, 0.375], [0.918, 0.625, 0.302], [0.052, 0.760, 0.417], [0.240, 0.583, 0.948], [0.417, 0.052, 0.760], [0.583, 0.948, 0.240], [0.760, 0.417, 0.052], [0.948, 0.240, 0.583]]
}

---

Entry Q
{
  "formula": "ScAl3C3",
  "functional": "PBE",
  "state": "optimized geometry",
  "magmom_total_mub_per_fu": 0.000,
  "cell": [[3.362, 0.000, 0.000], [-1.681, 2.912, 0.000], [0.000, 0.000, 16.782]],
  "species": ["Sc", "Sc", "Al", "Al", "Al", "Al", "Al", "Al", "C", "C", "C", "C", "C", "C"],
  "frac_coords": [[0.000, 0.000, 0.000], [0.000, 0.000, 0.500], [0.333, 0.667, 0.129], [0.333, 0.667, 0.371], [0.333, 0.667, 0.750], [0.667, 0.333, 0.250], [0.667, 0.333, 0.629], [0.667, 0.333, 0.871], [0.333, 0.667, 0.250], [0.333, 0.667, 0.587], [0.333, 0.667, 0.913], [0.667, 0.333, 0.087], [0.667, 0.333, 0.413], [0.667, 0.333, 0.750]]
}

---

The computed energies, referenced to the most stable structure and given in meV/atom, are entry P 138; entry Q 0.